[1]
## Zr2TeBr12 (PBE-GGA)

Data for a geometry-optimized Zr2TeBr12 structure.

Unit cell a=16.762 b=7.470 c=19.736 alpha=82.41 beta=90.00 gamma=90.00
Fractional coordinates of all 60 atoms:
1 Br 0.920 0.038 0.744
2 Te 0.443 0.666 0.664
3 Br 0.544 0.852 0.588
4 Br 0.580 0.038 0.244
5 Br 0.543 0.518 0.749
6 Br 0.957 0.518 0.249
7 Br 0.587 0.362 0.080
8 Zr 0.702 0.189 0.173
9 Te 0.943 0.334 0.836
10 Br 0.811 0.026 0.242
11 Zr 0.798 0.189 0.673
12 Br 0.691 0.575 0.916
13 Br 0.809 0.575 0.416
14 Br 0.044 0.148 0.912
15 Br 0.701 0.372 0.580
16 Zr 0.314 0.734 0.017
17 Br 0.921 0.124 0.420
18 Zr 0.686 0.266 0.983
19 Zr 0.186 0.734 0.517
20 Br 0.456 0.148 0.412
21 Br 0.299 0.628 0.420
22 Br 0.913 0.362 0.580
23 Te 0.557 0.334 0.336
24 Br 0.565 0.596 0.406
25 Zr 0.298 0.811 0.827
26 Br 0.457 0.482 0.251
27 Zr 0.202 0.811 0.327
28 Br 0.201 0.628 0.920
29 Br 0.692 0.474 0.239
30 Te 0.057 0.666 0.164
31 Br 0.799 0.372 0.080
32 Br 0.808 0.950 0.583
33 Br 0.192 0.050 0.417
34 Br 0.191 0.425 0.584
35 Br 0.579 0.124 0.920
36 Zr 0.814 0.266 0.483
37 Br 0.191 0.881 0.071
38 Br 0.420 0.962 0.756
39 Br 0.189 0.974 0.758
40 Br 0.079 0.876 0.580
41 Br 0.309 0.425 0.084
42 Br 0.692 0.950 0.083
43 Br 0.065 0.404 0.094
44 Br 0.689 0.026 0.742
45 Br 0.435 0.404 0.594
46 Br 0.308 0.050 0.917
47 Br 0.691 0.119 0.429
48 Br 0.192 0.526 0.261
49 Br 0.087 0.638 0.420
50 Br 0.808 0.474 0.739
51 Br 0.413 0.638 0.920
52 Br 0.043 0.482 0.751
53 Br 0.308 0.526 0.761
54 Br 0.956 0.852 0.088
55 Br 0.809 0.119 0.929
56 Br 0.935 0.596 0.906
57 Br 0.311 0.974 0.258
58 Br 0.421 0.876 0.080
59 Br 0.080 0.962 0.256
60 Br 0.309 0.881 0.571

## Properties
- Total energy: -3.72 eV/atom
- Size of the total moment: 0.00 μB per formula unit
- Space group: P2_1/c (14)
- Theoretical density: 3.440 g/cm³
- DOS(E_F): 0.00 states/eV/cell
- Formation energy without anion corrections: -1035 meV per atom

[2]
## Zr2TeBr (PBE-GGA)

Data for a geometry-optimized Zr2TeBr structure.

Unit cell a=5.816 b=5.816 c=3.412 alpha=72.58 beta=72.58 gamma=105.82
Fractional coordinates of all 4 atoms:
1 Br 0.500 0.000 0.500
2 Zr 0.000 0.000 0.000
3 Zr 0.500 0.500 0.000
4 Te 0.000 0.500 0.500

## Properties
- Total energy: -5.74 eV/atom
- Size of the total moment: 0.00 μB per formula unit
- Space group: C2/m (12)
- E above lowest polymorph: 454 meV/atom
- Theoretical density: 6.718 g/cm³
- DOS(E_F): 3.83 states/eV/cell
- Formation energy without anion corrections: -263 meV per atom

[3]
## Zr4TeBr (PBE-GGA)

Data for a geometry-optimized Zr4TeBr structure.

Unit cell a=5.903 b=5.903 c=5.903 alpha=60.00 beta=60.00 gamma=60.00
Fractional coordinates of all 6 atoms:
1 Te 0.000 0.000 0.000
2 Zr 0.375 0.375 0.375
3 Zr 0.876 0.375 0.375
4 Zr 0.375 0.375 0.876
5 Zr 0.375 0.876 0.375
6 Br 0.750 0.750 0.750

## Properties
- Total energy: -6.24 eV/atom
- Size of the total moment: 0.00 μB per formula unit
- Space group: F-43m (216)
- Theoretical density: 6.536 g/cm³
- DOS(E_F): 5.07 states/eV/cell
- Formation energy without anion corrections: 260 meV per atom

[4]
## ZrTeBr (PBE-GGA)

Data for a geometry-optimized ZrTeBr structure.

Unit cell a=7.634 b=7.634 c=3.495 alpha=76.76 beta=76.77 gamma=26.47
Fractional coordinates of all 3 atoms:
1 Te 0.285 0.285 0.715
2 Br 0.046 0.046 0.954
3 Zr 0.669 0.669 0.331

## Properties
- Total energy: -5.34 eV/atom
- Size of the total moment: 0.00 μB per formula unit
- Space group: I4mm (107)
- Theoretical density: 5.621 g/cm³
- DOS(E_F): 1.44 states/eV/cell
- Formation energy without anion corrections: -882 meV per atom